[1]
{
  "formula": "LaTbIn6",
  "functional": "PBE-GGA",
  "state": "optimized geometry",
  "lattice": [[-4.516, 2.024, -1.835], [-3.439, -3.323, 4.800], [2.313, 6.254, 1.206]],
  "species": ["La", "In", "In", "In", "In", "In", "In", "Tb"],
  "fractional_positions": [[0.500, 0.416, 0.584], [0.000, 0.594, 0.938], [0.000, 0.594, 0.406], [0.500, 0.428, 0.089], [0.000, 0.062, 0.406], [0.500, 0.911, 0.572], [0.500, 0.911, 0.089], [0.000, 0.084, 0.916]],
  "ef_ev_per_fu": -3.26,
  "e_above_lowest_polymorph_mev_per_atom": 50.0,
  "spacegroup": "Amm2, No. 38",
  "dft_energy_ev_per_atom": -3.66,
  "vol_a3_per_cell": 209.9
}

=====

[2]
{
  "formula": "HfNbCoIr",
  "functional": "PBE-GGA",
  "state": "optimized geometry",
  "lattice": [[-0.937, -2.039, -3.920], [0.829, -4.412, -0.506], [-3.431, -2.927, -0.259]],
  "species": ["Co", "Ir", "Nb", "Hf"],
  "fractional_positions": [[0.500, 0.500, 0.500], [0.000, 0.000, 0.000], [0.250, 0.250, 0.250], [0.750, 0.750, 0.750]],
  "ef_ev_per_fu": -1.58,
  "spacegroup": "F-43m, No. 216",
  "dft_energy_ev_per_atom": -9.39,
  "vol_a3_per_cell": 65.2
}

=====

[3]
{
  "formula": "Ce2ScP3Ir4",
  "functional": "PBE-GGA",
  "state": "optimized geometry",
  "lattice": [[-0.739, -3.911, -0.391], [3.676, -0.828, 1.340], [-3.788, -0.304, 10.205]],
  "species": ["Sc", "P", "P", "P", "Ir", "Ir", "Ir", "Ir", "Ce", "Ce"],
  "fractional_positions": [[0.500, 0.500, 0.500], [0.500, 0.000, 0.872], [0.000, 0.000, 0.500], [0.000, 0.500, 0.128], [0.500, 0.500, 0.000], [0.500, 0.000, 0.657], [0.000, 0.000, 0.000], [0.000, 0.500, 0.343], [0.500, 0.000, 0.234], [0.000, 0.500, 0.766]],
  "ef_ev_per_fu": -10.08,
  "spacegroup": "P-4m2, No. 115",
  "dft_energy_ev_per_atom": -8.00,
  "vol_a3_per_cell": 174.2
}

=====

[4]
{
  "formula": "LuGa2Rh",
  "functional": "PBE-GGA",
  "state": "optimized geometry",
  "lattice": [[-0.961, 0.702, -2.997], [-0.461, -3.137, -0.588], [-6.353, 0.528, 2.161]],
  "species": ["Rh", "Ga", "Ga", "Lu"],
  "fractional_positions": [[0.500, 0.500, 0.000], [0.000, 0.000, 0.203], [0.000, 0.000, 0.797], [0.500, 0.500, 0.500]],
  "ef_ev_per_fu": -2.30,
  "spacegroup": "P4/mmm, No. 123",
  "dft_energy_ev_per_atom": -5.06,
  "vol_a3_per_cell": 70.0
}

=====

[5]
{
  "formula": "FeCoGe2",
  "functional": "PBE-GGA",
  "state": "optimized geometry",
  "lattice": [[-3.218, -2.357, -1.009], [-2.935, -0.773, 2.778], [-3.730, 1.684, -0.425]],
  "species": ["Ge", "Ge", "Fe", "Co"],
  "fractional_positions": [[0.250, 0.250, 0.250], [0.750, 0.750, 0.750], [0.000, 0.000, 0.000], [0.500, 0.500, 0.500]],
  "ef_ev_per_fu": -0.03,
  "spacegroup": "Fm-3m, No. 225",
  "dft_energy_ev_per_atom": -6.21,
  "vol_a3_per_cell": 49.2
}

=====

[6]
{
  "formula": "Na2CdSi2O6",
  "functional": "PBE-GGA",
  "state": "optimized geometry",
  "lattice": [[7.557, 0.000, 0.000], [0.000, 10.550, 0.000], [0.000, 0.000, 10.648]],
  "species": ["Cd", "Cd", "Cd", "Cd", "Cd", "Cd", "Na", "Na", "Na", "Na", "Na", "Na", "Na", "Na", "Na", "Na", "Na", "Na", "O", "O", "O", "O", "O", "O", "O", "O", "O", "O", "O", "O", "O", "O", "O", "O", "O", "O", "O", "O", "O", "O", "O", "O", "O", "O", "O", "O", "O", "O", "O", "O", "O", "O", "O", "O", "Si", "Si", "Si", "Si", "Si", "Si", "Si", "Si", "Si", "Si", "Si", "Si"],
  "fractional_positions": [[0.266, 0.500, 0.753], [0.983, 0.000, 0.998], [0.250, 0.000, 0.249], [0.017, 0.500, 0.498], [0.750, 0.500, 0.749], [0.734, 0.000, 0.253], [0.725, 0.000, 0.725], [0.284, 0.774, 0.482], [0.493, 0.500, 0.991], [0.231, 0.242, 0.009], [0.284, 0.226, 0.482], [0.507, 0.000, 0.491], [0.769, 0.742, 0.509], [0.769, 0.258, 0.509], [0.716, 0.726, 0.982], [0.716, 0.274, 0.982], [0.231, 0.758, 0.009], [0.275, 0.500, 0.225], [0.521, 0.363, 0.803], [0.475, 0.625, 0.372], [0.323, 0.500, 0.553], [0.544, 0.171, 0.624], [0.521, 0.637, 0.803], [0.948, 0.825, 0.873], [0.479, 0.863, 0.303], [0.023, 0.137, 0.189], [0.525, 0.875, 0.872], [0.193, 0.000, 0.464], [0.248, 0.781, 0.753], [0.977, 0.124, 0.625], [0.977, 0.363, 0.689], [0.023, 0.624, 0.125], [0.977, 0.637, 0.689], [0.248, 0.219, 0.753], [0.807, 0.500, 0.964], [0.677, 0.000, 0.053], [0.525, 0.125, 0.872], [0.752, 0.719, 0.253], [0.456, 0.671, 0.124], [0.977, 0.876, 0.625], [0.023, 0.376, 0.125], [0.479, 0.137, 0.303], [0.305, 0.000, 0.029], [0.752, 0.281, 0.253], [0.544, 0.829, 0.624], [0.023, 0.863, 0.189], [0.052, 0.325, 0.373], [0.179, 0.500, 0.946], [0.821, 0.000, 0.446], [0.695, 0.500, 0.529], [0.456, 0.329, 0.124], [0.052, 0.675, 0.373], [0.948, 0.175, 0.873], [0.475, 0.375, 0.372], [0.467, 0.778, 0.754], [0.501, 0.500, 0.464], [0.499, 0.000, 0.964], [0.533, 0.722, 0.254], [0.968, 0.722, 0.240], [0.533, 0.278, 0.254], [0.467, 0.222, 0.754], [0.001, 0.000, 0.529], [0.968, 0.278, 0.240], [0.999, 0.500, 0.029], [0.032, 0.778, 0.740], [0.032, 0.222, 0.740]],
  "raw_formation_energy_ev_per_atom": -2.24,
  "spacegroup": "Pmn2_1, No. 31",
  "dft_energy_ev_per_atom": -6.26,
  "vol_a3_per_cell": 849.0
}

=====

[7]
{
  "formula": "YMnFe2",
  "functional": "PBE-GGA",
  "state": "optimized geometry",
  "lattice": [[-2.962, -2.476, 0.903], [0.933, -1.985, -2.384], [3.638, -3.555, 2.184]],
  "species": ["Mn", "Y", "Fe", "Fe"],
  "fractional_positions": [[0.000, 0.483, 0.409], [0.500, 0.793, 0.791], [0.500, 0.053, 0.267], [0.000, 0.171, 0.033]],
  "ef_ev_per_fu": 1.23,
  "e_above_lowest_polymorph_mev_per_atom": 184.6,
  "spacegroup": "Amm2, No. 38",
  "dft_energy_ev_per_atom": -7.83,
  "vol_a3_per_cell": 68.0
}

=====

[8]
{
  "formula": "Tl5Cu",
  "functional": "PBE-GGA",
  "state": "optimized geometry",
  "lattice": [[4.744, 0.000, 0.000], [0.000, 4.738, 0.000], [0.000, -2.369, 7.431]],
  "species": ["Tl", "Tl", "Tl", "Tl", "Tl", "Cu"],
  "fractional_positions": [[0.500, 0.500, 0.000], [0.500, 0.845, 0.690], [0.000, 0.656, 0.312], [0.000, 0.344, 0.688], [0.500, 0.155, 0.310], [0.000, 0.000, 0.000]],
  "ef_ev_per_fu": 1.19,
  "e_above_lowest_polymorph_mev_per_atom": 80.5,
  "spacegroup": "Cmmm, No. 65",
  "dft_energy_ev_per_atom": -2.46,
  "vol_a3_per_cell": 167.0
}

=====

[9]
{
  "formula": "Pm2AlSiPt6",
  "functional": "PBE-GGA",
  "state": "optimized geometry",
  "lattice": [[-3.760, -2.944, 2.894], [-3.516, -2.362, -6.972], [5.212, -6.933, -0.280]],
  "species": ["Pt", "Pt", "Pt", "Pt", "Pt", "Pt", "Pt", "Pt", "Pt", "Pt", "Pt", "Pt", "Al", "Al", "Pm", "Pm", "Pm", "Pm", "Si", "Si"],
  "fractional_positions": [[0.250, 0.481, 0.500], [0.250, 0.519, 0.000], [0.749, 0.006, 0.000], [0.500, 0.114, 0.749], [0.751, 0.994, 0.500], [0.750, 0.519, 0.000], [0.500, 0.114, 0.251], [0.000, 0.886, 0.751], [0.249, 0.994, 0.500], [0.251, 0.006, 0.000], [0.000, 0.886, 0.249], [0.750, 0.481, 0.500], [0.000, 0.731, 0.500], [0.500, 0.269, 0.000], [0.500, 0.727, 0.744], [0.000, 0.273, 0.756], [0.000, 0.273, 0.244], [0.500, 0.727, 0.256], [0.500, 0.245, 0.500], [0.000, 0.755, 0.000]],
  "raw_formation_energy_ev_per_atom": -1.00,
  "spacegroup": "Pmmn, No. 59",
  "dft_energy_ev_per_atom": -6.49,
  "vol_a3_per_cell": 395.3
}

=====

[10]
{
  "formula": "RbRe2Sb2",
  "functional": "PBE-GGA",
  "state": "optimized geometry",
  "lattice": [[5.056, 0.000, 0.000], [0.000, 5.056, 0.000], [2.528, 2.528, 4.798]],
  "species": ["Sb", "Sb", "Re", "Re", "Rb"],
  "fractional_positions": [[0.750, 0.250, 0.500], [0.250, 0.750, 0.500], [0.619, 0.619, 0.762], [0.381, 0.381, 0.238], [0.000, 0.000, 0.000]],
  "e_above_lowest_polymorph_mev_per_atom": 0.0,
  "raw_formation_energy_ev_per_atom": 0.48,
  "spacegroup": "I4/mmm, No. 139",
  "dft_energy_ev_per_atom": -6.34,
  "vol_a3_per_cell": 122.6
}

=====

[11]
{
  "formula": "CdPd3O",
  "functional": "PBE-GGA",
  "state": "optimized geometry",
  "lattice": [[-0.291, 3.156, 3.894], [0.526, -3.860, 3.167], [4.985, 0.592, -0.107]],
  "species": ["Pd", "Pd", "Pd", "O", "Cd"],
  "fractional_positions": [[0.000, 0.000, 0.500], [0.500, 0.000, 0.000], [0.000, 0.500, 0.000], [0.500, 0.500, 0.500], [0.000, 0.000, 0.000]],
  "e_above_lowest_polymorph_mev_per_atom": 1641.3,
  "raw_formation_energy_ev_per_atom": 1.49,
  "spacegroup": "Pm-3m, No. 221",
  "dft_energy_ev_per_atom": -2.80,
  "vol_a3_per_cell": 126.6
}

=====

[12]
{
  "formula": "SmY2Ho8",
  "functional": "PBE-GGA",
  "state": "optimized geometry",
  "lattice": [[5.418, 0.000, 0.000], [0.000, 8.323, -0.140], [-2.709, -3.660, 7.845]],
  "species": ["Y", "Y", "Ho", "Ho", "Ho", "Ho", "Ho", "Ho", "Ho", "Ho", "Sm"],
  "fractional_positions": [[0.204, 0.656, 0.407], [0.796, 0.344, 0.593], [0.384, 0.558, 0.769], [0.157, 0.194, 0.315], [0.843, 0.806, 0.685], [0.333, 0.106, 0.667], [0.616, 0.442, 0.231], [0.981, 0.277, 0.961], [0.667, 0.894, 0.333], [0.019, 0.723, 0.039], [0.500, 0.000, 0.000]],
  "ef_ev_per_fu": 1.13,
  "spacegroup": "C2/m, No. 12",
  "dft_energy_ev_per_atom": -4.83,
  "vol_a3_per_cell": 351.0
}

=====

[13]
{
  "formula": "Al2HgGeS6",
  "functional": "PBE-GGA",
  "state": "optimized geometry",
  "lattice": [[-4.992, -3.347, 2.305], [-0.467, -8.280, -5.212], [3.440, -5.422, 7.396]],
  "species": ["S", "S", "S", "S", "S", "S", "S", "S", "S", "S", "S", "S", "Al", "Al", "Al", "Al", "Ge", "Ge", "Hg", "Hg"],
  "fractional_positions": [[0.495, 0.542, 0.677], [0.144, 0.003, 0.790], [0.040, 0.597, 0.153], [0.960, 0.403, 0.847], [0.356, 0.210, 0.997], [0.460, 0.847, 0.403], [0.644, 0.790, 0.003], [0.856, 0.997, 0.210], [0.540, 0.153, 0.597], [0.505, 0.458, 0.323], [0.005, 0.323, 0.458], [0.995, 0.677, 0.542], [0.619, 0.351, 0.515], [0.119, 0.515, 0.351], [0.881, 0.485, 0.649], [0.381, 0.649, 0.485], [0.250, 0.202, 0.798], [0.750, 0.798, 0.202], [0.250, 0.909, 0.091], [0.750, 0.091, 0.909]],
  "raw_formation_energy_ev_per_atom": -0.63,
  "spacegroup": "C2/c, No. 15",
  "dft_energy_ev_per_atom": -4.34,
  "vol_a3_per_cell": 566.7
}

=====

[14]
{
  "formula": "Sm4Er5Mg2",
  "functional": "PBE-GGA",
  "state": "optimized geometry",
  "lattice": [[3.440, 0.000, 0.000], [0.000, 8.674, 0.023], [0.000, -0.806, 11.392]],
  "species": ["Sm", "Sm", "Sm", "Sm", "Er", "Er", "Er", "Er", "Er", "Mg", "Mg"],
  "fractional_positions": [[0.500, 0.708, 0.550], [0.500, 0.292, 0.450], [0.500, 0.852, 0.111], [0.500, 0.148, 0.889], [0.000, 0.500, 0.000], [0.000, 0.425, 0.708], [0.000, 0.575, 0.292], [0.000, 0.795, 0.831], [0.000, 0.205, 0.169], [0.000, 0.052, 0.631], [0.000, 0.948, 0.369]],
  "ef_ev_per_fu": 0.93,
  "e_above_lowest_polymorph_mev_per_atom": 48.0,
  "spacegroup": "P2/m, No. 10",
  "dft_energy_ev_per_atom": -4.00,
  "vol_a3_per_cell": 340.0
}

=====

[15]
{
  "formula": "ScCd2Te",
  "functional": "PBE-GGA",
  "state": "optimized geometry",
  "lattice": [[-6.276, 1.829, 5.920], [-3.729, -0.209, 7.989], [-3.168, 3.570, 7.416]],
  "species": ["Te", "Cd", "Cd", "Sc"],
  "fractional_positions": [[0.761, 0.761, 0.761], [0.995, 0.995, 0.995], [0.249, 0.249, 0.249], [0.496, 0.496, 0.496]],
  "raw_formation_energy_ev_per_atom": -0.33,
  "spacegroup": "R3m, No. 160",
  "dft_energy_ev_per_atom": -3.15,
  "vol_a3_per_cell": 110.3
}

=====

[16]
{
  "formula": "Na2La2Hg",
  "functional": "PBE-GGA",
  "state": "optimized geometry",
  "lattice": [[7.972, 0.000, 0.000], [0.000, 7.972, 0.000], [0.000, 0.000, 5.936]],
  "species": ["Na", "Na", "Na", "Na", "Hg", "Hg", "La", "La", "La", "La"],
  "fractional_positions": [[0.330, 0.170, 0.500], [0.830, 0.330, 0.500], [0.670, 0.830, 0.500], [0.170, 0.670, 0.500], [0.000, 0.000, 0.000], [0.500, 0.500, 0.000], [0.131, 0.369, 0.000], [0.369, 0.869, 0.000], [0.631, 0.131, 0.000], [0.869, 0.631, 0.000]],
  "ef_ev_per_fu": 0.79,
  "e_above_lowest_polymorph_mev_per_atom": 115.9,
  "spacegroup": "P4/mbm, No. 127",
  "dft_energy_ev_per_atom": -2.40,
  "vol_a3_per_cell": 377.2
}

=====

[17]
{
  "formula": "CaScSi2",
  "functional": "PBE-GGA",
  "state": "optimized geometry",
  "lattice": [[-2.920, -1.095, 3.729], [0.101, 2.700, 4.041], [-3.751, 2.897, 1.082]],
  "species": ["Si", "Si", "Sc", "Ca"],
  "fractional_positions": [[0.750, 0.750, 0.750], [0.250, 0.250, 0.250], [0.500, 0.500, 0.500], [0.000, 0.000, 0.000]],
  "e_above_lowest_polymorph_mev_per_atom": 190.7,
  "raw_formation_energy_ev_per_atom": -0.26,
  "spacegroup": "Fm-3m, No. 225",
  "dft_energy_ev_per_atom": -5.05,
  "vol_a3_per_cell": 81.2
}

=====

[18]
{
  "formula": "TaAlCd",
  "functional": "PBE-GGA",
  "state": "optimized geometry",
  "lattice": [[4.568, 0.000, 0.000], [2.284, 3.956, 0.000], [2.284, 1.319, 3.730]],
  "species": ["Cd", "Al", "Ta"],
  "fractional_positions": [[0.500, 0.500, 0.500], [0.000, 0.000, 0.000], [0.750, 0.750, 0.750]],
  "ef_ev_per_fu": 2.45,
  "e_above_lowest_polymorph_mev_per_atom": 738.1,
  "spacegroup": "F-43m, No. 216",
  "dft_energy_ev_per_atom": -4.69,
  "vol_a3_per_cell": 67.4
}

=====

[19]
{
  "formula": "CeSnIr4",
  "functional": "PBE-GGA",
  "state": "optimized geometry",
  "lattice": [[5.361, 0.000, 0.000], [2.680, 4.643, 0.000], [2.680, 1.548, 4.377]],
  "species": ["Ir", "Ir", "Ir", "Ir", "Sn", "Ce"],
  "fractional_positions": [[0.626, 0.123, 0.626], [0.626, 0.626, 0.123], [0.123, 0.626, 0.626], [0.626, 0.626, 0.626], [0.000, 0.000, 0.000], [0.250, 0.250, 0.250]],
  "ef_ev_per_fu": -2.48,
  "spacegroup": "F-43m, No. 216",
  "dft_energy_ev_per_atom": -7.98,
  "vol_a3_per_cell": 108.9
}

=====

[20]
{
  "formula": "Pa2Be3CuIr4",
  "functional": "PBE-GGA",
  "state": "optimized geometry",
  "lattice": [[3.960, 0.000, 0.000], [0.000, 3.960, 0.000], [0.000, 0.000, 9.854]],
  "species": ["Ir", "Ir", "Ir", "Ir", "Cu", "Be", "Be", "Be", "Pa", "Pa"],
  "fractional_positions": [[0.500, 0.500, 0.000], [0.500, 0.000, 0.654], [0.000, 0.500, 0.346], [0.000, 0.000, 0.000], [0.500, 0.500, 0.500], [0.000, 0.000, 0.500], [0.500, 0.000, 0.884], [0.000, 0.500, 0.116], [0.000, 0.500, 0.764], [0.500, 0.000, 0.236]],
  "ef_ev_per_fu": -5.79,
  "spacegroup": "P-4m2, No. 115",
  "dft_energy_ev_per_atom": -7.55,
  "vol_a3_per_cell": 154.5
}

=====

[21]
{
  "formula": "K4ZrPb",
  "functional": "PBE-GGA",
  "state": "optimized geometry",
  "lattice": [[0.000, 4.961, 4.961], [4.961, 0.000, 4.961], [4.961, 4.961, 0.000]],
  "species": ["K", "K", "K", "K", "Pb", "Zr"],
  "fractional_positions": [[0.872, 0.376, 0.376], [0.376, 0.872, 0.376], [0.376, 0.376, 0.872], [0.376, 0.376, 0.376], [0.750, 0.750, 0.750], [0.000, 0.000, 0.000]],
  "ef_ev_per_fu": 4.60,
  "spacegroup": "F-43m, No. 216",
  "dft_energy_ev_per_atom": -2.01,
  "vol_a3_per_cell": 244.2
}

=====

[22]
{
  "formula": "LaSc2Cd",
  "functional": "PBE-GGA",
  "state": "optimized geometry",
  "lattice": [[-1.287, 4.581, -0.102], [-4.329, -1.183, 1.484], [1.403, 0.494, 4.487]],
  "species": ["La", "Cd", "Sc", "Sc"],
  "fractional_positions": [[0.500, 0.000, 0.500], [0.500, 0.500, 0.000], [0.000, 0.000, 0.000], [0.000, 0.500, 0.500]],
  "ef_ev_per_fu": -0.19,
  "spacegroup": "P4/mmm, No. 123",
  "dft_energy_ev_per_atom": -4.67,
  "vol_a3_per_cell": 106.3
}